(1)
## BeIn2Si (PBE)

Data for a relaxed structure of BeIn2Si.

Summary:
Crystal system ... tetragonal
ΔE_f (raw) ... 0.5890 eV/atom
Energy ... -3.07 eV per atom
ρ ... 5.62 g cm⁻³
Excess energy over the best structure of this formula in the dataset ... 0.376 eV per atom

a = 5.623 Å, b = 5.623 Å, c = 5.623 Å
α = 137.97°, β = 137.97°, γ = 60.94°
Fractional coordinates of all 4 atoms:
Be (0.000, 0.000, 0.000)
In (0.250, 0.750, 0.500)
In (0.500, 0.500, 0.000)
Si (0.750, 0.250, 0.500)

=====

(2)
## Te2PtPb (PBE)

Data for a relaxed structure of Te2PtPb.

Summary:
Crystal system ... trigonal
ΔE_f (raw) ... -0.2462 eV/atom
Energy ... -4.25 eV per atom
ρ ... 9.78 g cm⁻³

a = 8.335 Å, b = 8.335 Å, c = 8.335 Å
α = 27.86°, β = 27.86°, γ = 27.86°
Fractional coordinates of all 4 atoms:
Te (0.227, 0.227, 0.227)
Te (0.773, 0.773, 0.773)
Pt (0.500, 0.500, 0.500)
Pb (0.000, 0.000, 0.000)

=====

(3)
## Y2AsW (PBE)

Data for a relaxed structure of Y2AsW.

Summary:
E_form ... -69 meV/atom
Crystal system ... monoclinic
Energy ... -7.70 eV per atom
ρ ... 8.28 g cm⁻³

a = 4.851 Å, b = 3.708 Å, c = 4.870 Å
α = 90.00°, β = 90.22°, γ = 90.00°
Fractional coordinates of all 4 atoms:
Y (0.000, 0.000, 0.000)
Y (0.500, 0.000, 0.500)
As (0.000, 0.500, 0.500)
W (0.500, 0.500, 0.000)

=====

- Which formula does entry 3 have?
  Y2AsW

=====

- Which of these has the lowest ρ?
  BeIn2Si